First-principles (PBE-GGA) data for crystalline Ac2Tb2Pm at its relaxed geometry, as listed in the Alexandria database.

Structure (CIF):
```
data_Ac2Tb2Pm
_chemical_formula_sum 'Ac4 Tb4 Pm2'
_space_group_name_H-M_alt 'P -1'
_space_group_IT_number 2
_space_group_name_Hall '-P 1'
_cell_length_a 6.410
_cell_length_b 8.533
_cell_length_c 8.569
_cell_angle_alpha 69.40
_cell_angle_beta 68.16
_cell_angle_gamma 68.13
loop_
_atom_site_label
_atom_site_type_symbol
_atom_site_fract_x
_atom_site_fract_y
_atom_site_fract_z
Ac1 Ac 0.236 0.131 0.371
Ac2 Ac 0.264 0.629 0.869
Tb1 Tb 0.249 0.749 0.251
Tb2 Tb 0.251 0.419 0.581
Pm1 Pm 0.250 0.084 0.916
```

Values from the calculation:
The value obtained for the total magnetization is 0.00 μB/f.u. The energy relative to the elements comes out at 0.2181 eV per atom. The value obtained for the calculated volume is 39.1 Å³/atom.